# 1
Material: Cs3Ni
Method: DFT, PBE-GGA
State: optimized geometry

Cell: 6.8988 6.8486 6.8988 Å, 90.00 90.00 90.00°
Last column: magnetic moment on the atom in μB.
Positions (direct):
Cs 0.5000 0.0000 0.5000  0.00
Cs 0.0000 0.5000 0.5000  0.00
Cs 0.5000 0.5000 0.0000  0.00
Ni 0.0000 0.0000 0.0000  0.72

calculated volume: 81.488 Å³ per atom
E_tot: -1.334 eV/atom

# 2
Material: LiZrAlCo
Method: DFT, PBE-GGA
State: optimized geometry

Cell: 4.3362 4.3362 4.3362 Å, 60.00 60.00 60.00°
Last column: magnetic moment on the atom in μB.
Positions (direct):
Zr 0.5000 0.5000 0.5000  0.12
Li 0.2500 0.2500 0.2500  0.00
Al 0.0000 0.0000 0.0000  0.02
Co 0.7500 0.7500 0.7500  0.35

calculated volume: 14.413 Å³ per atom
E_tot: -5.684 eV/atom
E above lowest polymorph: 0.000 eV/atom

# 3
Material: LaHoW
Method: DFT, PBE-GGA
State: optimized geometry

Cell: 4.9054 4.9054 4.9054 Å, 60.00 60.00 60.00°
Positions (direct):
La 0.7500 0.7500 0.7500
W 0.0000 0.0000 0.0000
Ho 0.2500 0.2500 0.2500

calculated volume: 27.822 Å³ per atom
energy of formation: 73 kJ per mole of atoms
E_tot: -6.730 eV/atom

# 4
Material: RbNbW
Method: DFT, PBE-GGA
State: optimized geometry

Cell: 4.8193 4.8193 4.8193 Å, 60.00 60.00 60.00°
Positions (direct):
Rb 0.0000 0.0000 0.0000
W 0.7500 0.7500 0.7500
Nb 0.2500 0.2500 0.2500

calculated volume: 26.382 Å³ per atom
E_tot: -4.419 eV/atom
E above lowest polymorph: 1.246 eV/atom